(1)
Er4SiAs2Se GGA-PBE optimized geometry; E = -47.71 eV/cell
1.0
-5.667 -1.024 0.007
0.368 -1.999 5.388
1.693 6.822 -0.662
Er Si As Se
4 1 2 1
direct
0.999 0.499 0.997 Er
0.501 0.001 0.003 Er
0.753 0.753 0.507 Er
0.247 0.247 0.493 Er
0.750 0.250 0.500 Si
0.250 0.750 0.500 As
0.000 0.000 0.000 As
0.500 0.500 0.000 Se


(2)
SrTa2Zn GGA-PBE optimized geometry; E_form = 0.87 eV per atom
1.0
4.809 0.000 0.000
0.000 4.213 0.000
0.000 0.000 4.213
Sr Ta Zn
1 2 1
direct
0.500 0.000 0.500 Sr
0.000 0.000 0.000 Ta
0.000 0.500 0.500 Ta
0.500 0.500 0.000 Zn


(3)
PrSc2Au GGA-PBE optimized geometry; energy above the most stable polymorph in this dataset = 14.4 kJ/mol of atoms; E_form = -0.22 eV per atom
1.0
-0.740 0.807 3.400
-3.336 -0.343 1.231
0.510 -8.875 4.094
Pr Sc Au
1 2 1
direct
0.502 0.502 0.494 Pr
0.066 0.066 0.801 Sc
0.266 0.266 0.202 Sc
0.666 0.666 0.003 Au


(4)
Li2TlRu GGA-PBE optimized geometry; E_form = 0.10 eV per atom
1.0
5.215 -0.005 0.002
4.154 3.152 0.002
1.880 0.632 3.958
Li Ru Tl
2 1 1
direct
0.013 0.013 0.987 Li
0.487 0.487 0.513 Li
0.750 0.750 0.750 Ru
0.250 0.250 0.250 Tl